SrCu2AsS4 | PBE | relaxed

Unit cell a=6.1601 b=6.1601 c=6.1601 alpha=118.54 beta=109.96 gamma=100.42
With the nearest neighbours (Å) after each atom.
Element x y z (fractional)
Sr 0.0000 0.0000 0.0000  8 S 3.17
Cu 0.3261 0.8261 0.5000  2 S 2.20
Cu 0.6739 0.1739 0.5000  2 S 2.20
As 0.5000 0.5000 0.0000  4 S 2.37
S 0.1349 0.1013 0.5941  1 Cu 2.20, 1 As 2.37
S 0.4928 0.8987 0.0336  1 Cu 2.20, 1 As 2.37
S 0.5072 0.5408 0.4059  1 Cu 2.20, 1 As 2.37
S 0.8651 0.4592 0.9664  1 Cu 2.20, 1 As 2.37

Results
Crystal system   orthorhombic
Uncorrected energy   -35.49 eV per cell
Space-group type   I222
Formation energy (no corrections)   -4.46 eV/f.u.